The following is a DFT calculation (GGA-PBE) of crystalline K3HoNp3S8 at its relaxed geometry.

Structure (POSCAR):
```
K3HoNp3S8
1.0
8.123 -0.010 0.008
-4.070 7.030 -0.034
0.012 -4.661 7.470
K Ho Np S
3 1 3 8
Direct
0.000 0.000 0.000
0.000 0.500 0.000
0.500 0.500 0.000
0.000 0.000 0.500
0.500 0.000 0.500
0.500 0.500 0.500
0.000 0.500 0.500
0.266 0.533 0.299
0.734 0.467 0.701
0.768 0.538 0.304
0.232 0.462 0.696
0.769 0.038 0.307
0.231 0.962 0.693
0.266 0.036 0.304
0.734 0.964 0.696
```

The uncorrected formation energy is -1.499 eV per atom. The value obtained for the calculated volume is 425.19 Å³ per cell. The total energy is -6.81 eV/atom.